# Li3Cu2O4, optimized geometry, DFT GGA-PBEsol
data_Li3Cu2O4
_cell_length_a 4.5977
_cell_length_b 5.1900
_cell_length_c 4.6199
_cell_angle_alpha 83.00
_cell_angle_beta 74.03
_cell_angle_gamma 63.71
_space_group_name_H-M_alt 'P 1'
_space_group_IT_number 1
_space_group_name_Hall 'P 1'
loop_
_atom_site_label
_atom_site_type_symbol
_atom_site_fract_x
_atom_site_fract_y
_atom_site_fract_z
O1 O 0.6432 0.2332 0.7363
O2 O 0.3497 0.7751 0.7340
O3 O 0.8752 0.7751 0.2660
O4 O 0.1236 0.2332 0.2637
Cu1 Cu 0.2512 0.4975 0.0000
Cu2 Cu 0.7450 0.5100 0.5000
Li1 Li 0.0425 0.9150 0.5000
Li2 Li 0.9641 0.0718 0.0000
Li3 Li 0.4624 0.0751 0.5000
# **ΔE_f (raw)**: -1247 meV per atom
# **Space-group type**: No. 5

=====

# Mg3Ir2, optimized geometry, DFT GGA-PBEsol
data_Mg3Ir2
_cell_length_a 2.8883
_cell_length_b 2.8883
_cell_length_c 11.2470
_cell_angle_alpha 82.62
_cell_angle_beta 82.62
_cell_angle_gamma 60.00
_space_group_name_H-M_alt 'P 1'
_space_group_IT_number 1
_space_group_name_Hall 'P 1'
loop_
_atom_site_label
_atom_site_type_symbol
_atom_site_fract_x
_atom_site_fract_y
_atom_site_fract_z
Mg1 Mg 0.7932 0.7932 0.6204
Mg2 Mg 0.2068 0.2068 0.3796
Mg3 Mg 0.0000 0.0000 0.0000
Ir1 Ir 0.3971 0.3971 0.8088
Ir2 Ir 0.6029 0.6029 0.1912
# **Space-group type**: No. 166
# **Calculated formation energy**: -2.6 kcal/mol of atoms

=====

# YTa3Co, optimized geometry, DFT GGA-PBEsol
data_YTa3Co
_cell_length_a 4.7625
_cell_length_b 4.7625
_cell_length_c 4.7625
_cell_angle_alpha 90.00
_cell_angle_beta 90.00
_cell_angle_gamma 90.00
_space_group_name_H-M_alt 'P 1'
_space_group_IT_number 1
_space_group_name_Hall 'P 1'
loop_
_atom_site_label
_atom_site_type_symbol
_atom_site_fract_x
_atom_site_fract_y
_atom_site_fract_z
Co1 Co 0.5000 0.5000 0.5000
Ta1 Ta 0.0000 0.5000 0.0000
Ta2 Ta 0.0000 0.0000 0.5000
Ta3 Ta 0.5000 0.0000 0.0000
Y1 Y 0.0000 0.0000 0.0000
# **Space-group type**: No. 221
# **Calculated formation energy**: 63.9 kcal/mol of atoms

=====

# Zr2GaNiO, optimized geometry, DFT GGA-PBEsol
data_Zr2GaNiO
_cell_length_a 3.3946
_cell_length_b 4.9820
_cell_length_c 4.9820
_cell_angle_alpha 90.00
_cell_angle_beta 90.00
_cell_angle_gamma 90.00
_space_group_name_H-M_alt 'P 1'
_space_group_IT_number 1
_space_group_name_Hall 'P 1'
loop_
_atom_site_label
_atom_site_type_symbol
_atom_site_fract_x
_atom_site_fract_y
_atom_site_fract_z
Ga1 Ga 0.5000 0.5000 0.5000
Ni1 Ni 0.0000 0.0000 0.0000
Zr1 Zr 0.0000 0.0000 0.5000
Zr2 Zr 0.0000 0.5000 0.0000
O1 O 0.5000 0.0000 0.0000
# **ΔE_f (raw)**: -269 meV per atom
# **Space-group type**: No. 123

=====

# Ge2Sb2I, optimized geometry, DFT GGA-PBEsol
data_Ge2Sb2I
_cell_length_a 4.3723
_cell_length_b 4.3723
_cell_length_c 7.8103
_cell_angle_alpha 106.25
_cell_angle_beta 106.25
_cell_angle_gamma 90.00
_space_group_name_H-M_alt 'P 1'
_space_group_IT_number 1
_space_group_name_Hall 'P 1'
loop_
_atom_site_label
_atom_site_type_symbol
_atom_site_fract_x
_atom_site_fract_y
_atom_site_fract_z
Sb1 Sb 0.6272 0.6272 0.2544
Sb2 Sb 0.3728 0.3728 0.7456
Ge1 Ge 0.2500 0.7500 0.5000
Ge2 Ge 0.7500 0.2500 0.5000
I1 I 0.0000 0.0000 0.0000
# **ΔE_f (raw)**: 49 meV per atom
# **Space-group type**: No. 139

=====

# YSiPt2, optimized geometry, DFT GGA-PBEsol
data_YSiPt2
_cell_length_a 5.4354
_cell_length_b 6.9131
_cell_length_c 7.2488
_cell_angle_alpha 90.00
_cell_angle_beta 90.00
_cell_angle_gamma 90.00
_space_group_name_H-M_alt 'P 1'
_space_group_IT_number 1
_space_group_name_Hall 'P 1'
loop_
_atom_site_label
_atom_site_type_symbol
_atom_site_fract_x
_atom_site_fract_y
_atom_site_fract_z
Si1 Si 0.6346 0.7500 0.6196
Si2 Si 0.1346 0.2500 0.8804
Si3 Si 0.3654 0.2500 0.3804
Si4 Si 0.8654 0.7500 0.1196
Y1 Y 0.6332 0.2500 0.0266
Y2 Y 0.3668 0.7500 0.9734
Y3 Y 0.1332 0.7500 0.4734
Y4 Y 0.8668 0.2500 0.5266
Pt1 Pt 0.9074 0.5514 0.8195
Pt2 Pt 0.0926 0.4486 0.1805
Pt3 Pt 0.5926 0.5514 0.3195
Pt4 Pt 0.5926 0.9486 0.3195
Pt5 Pt 0.0926 0.0514 0.1805
Pt6 Pt 0.9074 0.9486 0.8195
Pt7 Pt 0.4074 0.0514 0.6805
Pt8 Pt 0.4074 0.4486 0.6805
# **ΔE_f (raw)**: -1210 meV per atom
# **Space-group type**: No. 62

=====

Final energy: -0.1910, -0.1864, -0.2820, -0.2519, -0.1508, -0.2879 (hartree per atom)
Magnetization: 0.10, 0.00, 0.44, 0.00, 0.00, 0.00 (μB/atom)
Calculated volume: 95, 80, 108, 84, 137, 272 (Å³ per cell)